Dy2Te: relaxed, PBE-GGA.

Calculated values
The value obtained for the total DFT energy (no corrections) is -4.87 eV/atom. As for the space group: Pnma, No. 62. As for the formation energy from raw total energies: -0.7545 eV per atom.

Unit cell a=3.9403 b=6.1276 c=15.2260 alpha=90.00 beta=90.00 gamma=90.00
Closest atoms and distances in Å follow each position.
Fractional coordinates of all 12 atoms:
Dy: 0.7500 0.2696 0.0232  3 Te 3.13-3.16
Dy: 0.2500 0.7304 0.9768  3 Te 3.13-3.16
Dy: 0.7500 0.0285 0.3056  4 Te 3.10-3.18
Dy: 0.7500 0.2304 0.5232  3 Te 3.13-3.16
Dy: 0.7500 0.4715 0.8056  4 Te 3.10-3.18
Te: 0.2500 0.4778 0.6482  7 Dy 3.10-3.18
Te: 0.7500 0.9778 0.8518  7 Dy 3.10-3.18
Dy: 0.2500 0.9715 0.6944  4 Te 3.10-3.18
Te: 0.7500 0.5222 0.3518  7 Dy 3.10-3.18
Dy: 0.2500 0.7696 0.4768  3 Te 3.13-3.16
Te: 0.2500 0.0222 0.1482  7 Dy 3.10-3.18
Dy: 0.2500 0.5285 0.1944  4 Te 3.10-3.18